Compound: Ac6SmO12
Source: the Alexandria database
Functional: GGA-PBE
Structure: relaxed

Cell: 10.9925 10.9925 10.2787 Å, 90.00 90.00 120.00°
Space group R-3 (No. 148, hexagonal axes)
Symmetry-distinct sites (fractional):
Ac 0.0525 0.7930 0.1553
Sm 0.0000 0.0000 0.5000
O 0.0398 0.8138 0.9025
O 0.0420 0.8330 0.3961

Values from the calculation:
* uncorrected formation energy: -3.02 eV per atom
* uncorrected energy: -7.70 eV/atom


Compound: AcSmTaO6
Source: the Alexandria database
Functional: GGA-PBE
Structure: relaxed

Cell: 5.2445 5.2445 10.6179 Å, 90.00 90.00 90.00°
Space group P4_2nm (No. 102)
Symmetry-distinct sites (fractional):
Ac 0.0000 0.0000 0.0000
Sm 0.0000 0.0000 0.3348
Ta 0.0000 0.0000 0.6653
O 0.1738 0.1738 0.5190
O 0.1881 0.1881 0.8017
O 0.2293 0.2293 0.1786

Values from the calculation:
* uncorrected formation energy: -2.93 eV per atom
* uncorrected energy: -8.53 eV/atom


Compound: AcSmTa2O8
Source: the Alexandria database
Functional: GGA-PBE
Structure: relaxed

Cell: 5.4439 5.4439 11.7228 Å, 90.00 90.00 90.00°
Space group I-4 (No. 82)
Symmetry-distinct sites (fractional):
Ac 0.0000 0.0000 0.0000
Sm 0.0000 0.5000 0.7500
Ta 0.0000 0.0000 0.5000
Ta 0.0000 0.5000 0.2500
O 0.1502 0.2475 0.5887
O 0.1700 0.7432 0.1670

Values from the calculation:
* uncorrected formation energy: -3.21 eV per atom
* uncorrected energy: -9.23 eV/atom


Compound: Ac2SmTc3O12
Source: the Alexandria database
Functional: GGA-PBE
Structure: relaxed

Cell: 7.3085 7.3085 16.0392 Å, 90.00 90.00 120.00°
Space group R-3m (No. 166, hexagonal axes)
Symmetry-distinct sites (fractional):
Ac 0.0000 0.0000 0.1181
Sm 0.0000 0.0000 0.5000
Tc 0.0000 0.5000 0.0000
O 0.0506 0.5253 0.8806
O 0.0680 0.5340 0.3088

Values from the calculation:
* uncorrected formation energy: -2.15 eV per atom
* uncorrected energy: -7.90 eV/atom


Compound: AcSm2TcO8
Source: the Alexandria database
Functional: GGA-PBE
Structure: relaxed

Cell: 5.1992 7.1036 5.2010 Å, 90.00 91.12 90.00°
Space group P2/m (No. 10)
Symmetry-distinct sites (fractional):
Ac 0.0000 0.0000 0.0000
Sm 0.5000 0.2516 0.5000
Tc 0.0000 0.5000 0.0000
O 0.1832 0.3048 0.1817
O 0.2548 0.5000 0.7436
O 0.3183 0.0000 0.6787

Values from the calculation:
* uncorrected formation energy: -2.55 eV per atom
* uncorrected energy: -7.85 eV/atom


Compound: AcSmTc2O8
Source: the Alexandria database
Functional: GGA-PBE
Structure: relaxed

Cell: 5.9416 5.9416 7.3605 Å, 90.00 90.00 120.00°
Space group P-3 (No. 147)
Symmetry-distinct sites (fractional):
Ac 0.0000 0.0000 0.0000
Sm 0.0000 0.0000 0.5000
Tc 0.3333 0.6667 0.7930
O 0.1586 0.3191 0.7233
O 0.3333 0.6667 0.0370

Values from the calculation:
* uncorrected formation energy: -2.10 eV per atom
* uncorrected energy: -7.87 eV/atom


Compound: AcSmTeO2
Source: the Alexandria database
Functional: GGA-PBE
Structure: relaxed

Cell: 7.2016 4.2907 8.2459 Å, 90.00 107.26 90.00°
Space group P2_1/m (No. 11)
Symmetry-distinct sites (fractional):
Ac 0.1852 0.2500 0.4255
Sm 0.1575 0.2500 0.9141
Te 0.4468 0.7500 0.7589
O 0.0063 0.7500 0.8854
O 0.0140 0.7500 0.3701

Values from the calculation:
* uncorrected formation energy: -2.92 eV per atom
* uncorrected energy: -7.29 eV/atom


Compound: AcSmTe2O8
Source: the Alexandria database
Functional: GGA-PBE
Structure: relaxed

Cell: 7.7170 7.7170 7.0670 Å, 90.00 90.00 90.00°
Space group I-4m2 (No. 119)
Symmetry-distinct sites (fractional):
Ac 0.0000 0.0000 0.0000
Sm 0.0000 0.5000 0.7500
Te 0.0000 0.0000 0.5000
Te 0.0000 0.5000 0.2500
O 0.0000 0.1913 0.6908
O 0.0000 0.3245 0.0611

Values from the calculation:
* uncorrected formation energy: -1.93 eV per atom
* uncorrected energy: -6.50 eV/atom